Entry from Alexandria: an optimized crystal structure of LiGdZr (PBE).

```
3
Lattice="-1.666 1.666 6.665 1.666 -1.666 6.665 1.666 1.666 -6.665" Properties=species:S:1:pos:R:3 pbc="T T T"
Li 0.000 0.000 0.000
Gd 0.000 0.000 9.054
Zr 0.000 0.000 4.617
```

density of states at the Fermi level = 3.035 states/eV/cell
spin magnetization = 2.3590 μB per atom
final energy = -8.03 eV/atom
energy of formation from the pure elements = 3.585 kcal/mol of atoms



Entry from Alexandria: an optimized crystal structure of Cs2TlAg2Br6 (PBE).

```
11
Lattice="7.567 -4.027 0.000 7.567 4.027 0.000 -3.768 0.000 7.038" Properties=species:S:1:pos:R:3 pbc="T T T"
Cs 2.847 0.000 1.399
Cs 8.518 0.000 5.639
Tl -1.884 0.000 3.519
Ag 3.416 0.000 5.653
Ag 7.950 0.000 1.385
Br 6.155 1.958 1.407
Br 1.030 0.000 4.673
Br 5.211 1.958 5.631
Br 6.155 -1.958 1.407
Br 10.336 0.000 2.365
Br 5.211 -1.958 5.631
```

density of states at the Fermi level = 2.742 states/eV/cell
spin magnetization = 0.0000 μB per atom
final energy = -2.73 eV/atom
formation energy without anion corrections = -0.927 eV/atom



Among the records above, which one has the lowest final energy? LiGdZr